1.
AcDyZnAu | GGA-PBE | relaxed

Summary:
* magnetic moment: 0.0 Bohr magnetons per cell
* crystal system: tetragonal
* ρ: 10.3 Mg/m³
* energy of formation: -0.54 eV/atom

```
data_AcDyZnAu
_cell_length_a 3.7362
_cell_length_b 3.7362
_cell_length_c 7.5325
_cell_angle_alpha 90.00
_cell_angle_beta 90.00
_cell_angle_gamma 90.00
_space_group_name_H-M_alt 'P 1'
_space_group_IT_number 1
_space_group_name_Hall 'P 1'
loop_
_atom_site_label
_atom_site_type_symbol
_atom_site_fract_x
_atom_site_fract_y
_atom_site_fract_z
Ac1 Ac 0.5000 0.5000 0.1105
Dy1 Dy 0.5000 0.5000 0.6112
Zn1 Zn 0.0000 0.0000 0.3923
Au1 Au 0.0000 0.0000 0.8140
```


2.
CaSeS | GGA-PBE | relaxed

Summary:
* magnetic moment: 0.0 Bohr magnetons per cell
* crystal system: monoclinic
* ρ: 3.4 Mg/m³
* raw formation energy: -3.81 eV per formula unit

```
data_CaSeS
_cell_length_a 8.3092
_cell_length_b 4.4981
_cell_length_c 9.0827
_cell_angle_alpha 90.00
_cell_angle_beta 119.97
_cell_angle_gamma 90.00
_space_group_name_H-M_alt 'P 1'
_space_group_IT_number 1
_space_group_name_Hall 'P 1'
loop_
_atom_site_label
_atom_site_type_symbol
_atom_site_fract_x
_atom_site_fract_y
_atom_site_fract_z
Ca1 Ca 0.0000 0.0674 0.0000
Ca2 Ca 0.0000 0.5674 0.5000
Ca3 Ca 0.5000 0.3020 0.5000
Ca4 Ca 0.5000 0.8020 0.0000
S1 S 0.2190 0.8196 0.3448
S2 S 0.7810 0.8196 0.6552
S3 S 0.2190 0.3196 0.8448
S4 S 0.7810 0.3196 0.1552
Se1 Se 0.7190 0.0619 0.3416
Se2 Se 0.2810 0.0619 0.6584
Se3 Se 0.7190 0.5619 0.8416
Se4 Se 0.2810 0.5619 0.1584
```


3.
TmNi4B2 | GGA-PBE | relaxed

Summary:
* magnetic moment: 0.0 Bohr magnetons per cell
* crystal system: orthorhombic
* ρ: 9.2 Mg/m³
* energy of formation: -0.43 eV/atom

```
data_TmNi4B2
_cell_length_a 3.5282
_cell_length_b 3.5554
_cell_length_c 6.3823
_cell_angle_alpha 106.17
_cell_angle_beta 90.00
_cell_angle_gamma 90.00
_space_group_name_H-M_alt 'P 1'
_space_group_IT_number 1
_space_group_name_Hall 'P 1'
loop_
_atom_site_label
_atom_site_type_symbol
_atom_site_fract_x
_atom_site_fract_y
_atom_site_fract_z
Tm1 Tm 0.0000 0.0000 0.0000
Ni1 Ni 0.5000 0.8240 0.6481
Ni2 Ni 0.0000 0.6743 0.3485
Ni3 Ni 0.5000 0.1760 0.3519
Ni4 Ni 0.0000 0.3257 0.6515
B1 B 0.5000 0.5834 0.1667
B2 B 0.5000 0.4166 0.8333
```


4.
P2OsPdCl | GGA-PBE | relaxed

Summary:
* magnetic moment: 2.3 Bohr magnetons per cell
* crystal system: tetragonal
* ρ: 6.5 Mg/m³
* raw formation energy: 7.15 eV per formula unit

```
data_P2OsPdCl
_cell_length_a 4.6395
_cell_length_b 4.6395
_cell_length_c 4.6614
_cell_angle_alpha 90.00
_cell_angle_beta 90.00
_cell_angle_gamma 90.00
_space_group_name_H-M_alt 'P 1'
_space_group_IT_number 1
_space_group_name_Hall 'P 1'
loop_
_atom_site_label
_atom_site_type_symbol
_atom_site_fract_x
_atom_site_fract_y
_atom_site_fract_z
P1 P 0.0000 0.5000 0.0000
P2 P 0.5000 0.0000 0.0000
Os1 Os 0.5000 0.5000 0.5000
Pd1 Pd 0.0000 0.0000 0.0000
Cl1 Cl 0.0000 0.0000 0.5000
```


5.
Ba2Li3 | GGA-PBE | relaxed

Summary:
* magnetic moment: 0.0 Bohr magnetons per cell
* crystal system: orthorhombic
* ρ: 2.5 Mg/m³
* energy of formation: 0.03 eV/atom

```
data_Ba2Li3
_cell_length_a 6.9795
_cell_length_b 6.9796
_cell_length_c 9.6359
_cell_angle_alpha 90.00
_cell_angle_beta 90.00
_cell_angle_gamma 55.22
_space_group_name_H-M_alt 'P 1'
_space_group_IT_number 1
_space_group_name_Hall 'P 1'
loop_
_atom_site_label
_atom_site_type_symbol
_atom_site_fract_x
_atom_site_fract_y
_atom_site_fract_z
Ba1 Ba 0.1627 0.1627 0.5994
Ba2 Ba 0.8373 0.8373 0.4006
Ba3 Ba 0.3373 0.3373 0.0994
Ba4 Ba 0.6627 0.6627 0.9006
Li1 Li 0.5000 0.5000 0.5000
Li2 Li 0.0000 0.0000 0.0000
Li3 Li 0.6623 0.1624 0.7500
Li4 Li 0.8377 0.3376 0.2500
Li5 Li 0.1623 0.6624 0.7500
Li6 Li 0.3377 0.8376 0.2500
```


6.
Tm5Al4Cd | GGA-PBE | relaxed

Summary:
* magnetic moment: 0.0 Bohr magnetons per cell
* crystal system: tetragonal
* ρ: 7.7 Mg/m³
* energy of formation: -0.37 eV/atom

```
data_Tm5Al4Cd
_cell_length_a 3.5381
_cell_length_b 3.5381
_cell_length_c 18.3252
_cell_angle_alpha 90.00
_cell_angle_beta 90.00
_cell_angle_gamma 90.00
_space_group_name_H-M_alt 'P 1'
_space_group_IT_number 1
_space_group_name_Hall 'P 1'
loop_
_atom_site_label
_atom_site_type_symbol
_atom_site_fract_x
_atom_site_fract_y
_atom_site_fract_z
Tm1 Tm 0.5000 0.5000 0.1101
Tm2 Tm 0.5000 0.5000 0.3058
Tm3 Tm 0.5000 0.5000 0.5000
Tm4 Tm 0.5000 0.5000 0.6942
Tm5 Tm 0.5000 0.5000 0.8899
Al1 Al 0.0000 0.0000 0.2070
Al2 Al 0.0000 0.0000 0.4031
Al3 Al 0.0000 0.0000 0.5969
Al4 Al 0.0000 0.0000 0.7930
Cd1 Cd 0.0000 0.0000 0.0000
```